1.
A geometry-optimized Ru2ClO2 structure, computed with GGA-PBE.

**V**: 14.06 Å³/atom
**E above lowest polymorph**: 0.0 meV per atom
**E_form (uncorrected)**: 0.10 eV/atom

abc: 3.804 3.804 5.552
angles: 69.97 69.97 90.00
Sites, in units of the cell vectors:
Ru (0.750, 0.250, 0.500)
Ru (0.250, 0.750, 0.500)
O (0.341, 0.341, 0.318)
O (0.659, 0.659, 0.682)
Cl (0.000, 0.000, 0.000)

---

2.
A geometry-optimized LiHgAu2 structure, computed with GGA-PBE.

**Energy of formation**: -278 meV/atom
**V**: 18.00 Å³/atom

abc: 5.120 5.120 5.120
angles: 132.39 132.24 69.73
Sites, in units of the cell vectors:
Au (0.000, 0.000, 0.000)
Au (0.500, 0.500, 0.000)
Hg (0.750, 0.250, 0.500)
Li (0.250, 0.750, 0.500)